Below is crystalline InSb2Se2 at its relaxed geometry, with properties calculated at the PBE level.

extended XYZ file:
```
5
Lattice="-2.839 2.839 4.682 2.839 -2.839 4.682 2.839 2.839 -4.682" Properties=species:S:1:pos:R:3 pbc="T T T"
In 0.000 0.000 0.000
Sb 0.000 0.000 3.060
Sb 0.000 0.000 6.304
Se 2.839 0.000 2.341
Se 0.000 2.839 2.341
```

Computed properties:
The distance to the lowest polymorph of the same formula comes out at 1.98 kJ/mol of atoms. As for the space group: I4/mmm, No. 139. The calculation puts the electronic total energy at -3.618 eV per atom. For the uncorrected formation energy, the calculation gives -0.03 eV per atom. The calculation puts the total magnetization at 0.00 μB per formula unit.

Below is crystalline InSbSe4 at its relaxed geometry, with properties calculated at the PBE level.

extended XYZ file:
```
6
Lattice="6.580 0.000 0.000 0.000 3.846 0.000 -0.134 0.000 6.757" Properties=species:S:1:pos:R:3 pbc="T T T"
In 0.000 0.000 0.000
Sb -0.067 1.923 3.378
Se 1.569 1.923 1.219
Se 1.540 0.000 4.491
Se 4.906 0.000 2.266
Se 4.878 1.923 5.538
```

Computed properties:
The distance to the lowest polymorph of the same formula comes out at 0.00 kJ/mol of atoms. As for the space group: P2/m, No. 10. The calculation puts the electronic total energy at -3.702 eV per atom. For the uncorrected formation energy, the calculation gives -0.24 eV per atom. The calculation puts the total magnetization at 0.00 μB per formula unit.

Below is crystalline In3SbSe6 at its relaxed geometry, with properties calculated at the PBE level.

extended XYZ file:
```
20
Lattice="11.809 0.000 0.000 0.000 3.984 0.000 -5.586 0.000 12.041" Properties=species:S:1:pos:R:3 pbc="T T T"
In -1.331 0.996 4.068
In 3.171 0.996 0.676
In 2.371 2.988 3.629
In 3.852 0.996 8.413
In 3.052 2.988 11.366
In 7.553 2.988 7.974
Sb -1.184 0.996 9.120
Sb 7.407 2.988 2.921
Se -3.827 0.996 9.709
Se -1.732 2.988 7.164
Se 1.344 2.988 1.191
Se 1.055 0.996 5.085
Se -0.985 2.988 11.295
Se 4.251 0.996 3.186
Se 1.972 2.988 8.855
Se 7.208 0.996 0.747
Se 5.168 2.988 6.957
Se 4.878 0.996 10.850
Se 7.955 0.996 4.877
Se 10.050 2.988 2.333
```

Computed properties:
As for the space group: P2_1/m, No. 11. The calculation puts the electronic total energy at -3.726 eV per atom. For the uncorrected formation energy, the calculation gives -0.40 eV per atom. The calculation puts the total magnetization at 0.00 μB per formula unit.

Below is crystalline InSbSe2 at its relaxed geometry, with properties calculated at the PBE level.

extended XYZ file:
```
8
Lattice="-3.799 3.799 3.878 3.799 -3.799 3.878 3.799 3.799 -3.878" Properties=species:S:1:pos:R:3 pbc="T T T"
In 0.000 0.000 0.000
In 0.000 3.799 1.939
Sb 3.799 0.000 1.939
Sb 0.000 0.000 3.878
Se 1.900 -1.898 2.908
Se 1.901 1.900 0.969
Se 1.900 5.698 -0.969
Se 1.898 1.900 4.847
```

Computed properties:
As for the space group: I-42d, No. 122. The calculation puts the electronic total energy at -3.601 eV per atom. For the uncorrected formation energy, the calculation gives -0.14 eV per atom. The calculation puts the total magnetization at 0.00 μB per formula unit.

Below is crystalline InSbSe2 at its relaxed geometry, with properties calculated at the PBE level.

extended XYZ file:
```
4
Lattice="3.992 -3.989 0.000 3.992 3.989 0.000 -0.035 0.000 3.768" Properties=species:S:1:pos:R:3 pbc="T T T"
In 0.000 0.000 0.000
Sb 3.992 0.000 0.000
Se 1.996 1.995 0.000
Se 1.996 -1.995 0.000
```

Computed properties:
As for the space group: C2/m, No. 12. The calculation puts the electronic total energy at -3.512 eV per atom. For the uncorrected formation energy, the calculation gives -0.05 eV per atom. The calculation puts the total magnetization at 0.00 μB per formula unit.

Below is crystalline InSbSe2 at its relaxed geometry, with properties calculated at the PBE level.

extended XYZ file:
```
4
Lattice="3.649 0.000 0.000 0.000 3.649 0.000 0.000 0.000 7.376" Properties=species:S:1:pos:R:3 pbc="T T T"
In 0.000 0.000 0.000
Sb 0.000 0.000 3.688
Se 1.825 1.825 1.983
Se 1.825 1.825 5.393
```

Computed properties:
As for the space group: P4/mmm, No. 123. The calculation puts the electronic total energy at -3.507 eV per atom. For the uncorrected formation energy, the calculation gives -0.05 eV per atom. The calculation puts the total magnetization at 0.00 μB per formula unit.

Below is crystalline InSbSe2 at its relaxed geometry, with properties calculated at the PBE level.

extended XYZ file:
```
4
Lattice="3.730 0.000 0.000 0.000 3.826 0.000 -0.029 0.000 7.512" Properties=species:S:1:pos:R:3 pbc="T T T"
In 0.000 0.000 0.000
Sb 1.850 0.000 3.756
Se 1.860 1.913 1.681
Se 1.841 1.913 5.831
```

Computed properties:
As for the space group: P2/m, No. 10. The calculation puts the electronic total energy at -3.604 eV per atom. For the uncorrected formation energy, the calculation gives -0.15 eV per atom. The calculation puts the total magnetization at 0.00 μB per formula unit.

Below is crystalline InSb3Se6 at its relaxed geometry, with properties calculated at the PBE level.

extended XYZ file:
```
20
Lattice="12.287 0.000 0.000 0.000 4.089 0.000 -1.884 0.000 12.993" Properties=species:S:1:pos:R:3 pbc="T T T"
In 0.290 1.022 5.574
In 10.113 3.067 7.419
Sb -0.457 3.067 11.330
Sb 2.745 1.022 12.451
Sb 4.496 3.067 4.955
Sb 5.906 1.022 8.038
Sb 7.657 3.067 0.542
Sb 10.859 1.022 1.664
Se -0.556 1.022 8.148
Se 1.622 1.022 0.106
Se 2.502 1.022 4.310
Se 2.014 3.067 10.520
Se 3.908 3.067 7.502
Se 5.098 3.067 1.443
Se 5.305 1.022 11.551
Se 6.495 1.022 5.492
Se 8.388 1.022 2.473
Se 7.900 3.067 8.683
Se 8.780 3.067 12.887
Se 10.958 3.067 4.845
```

Computed properties:
As for the space group: P2_1/m, No. 11. The calculation puts the electronic total energy at -3.888 eV per atom. For the uncorrected formation energy, the calculation gives -0.29 eV per atom. The calculation puts the total magnetization at 0.00 μB per formula unit.

Below is crystalline In12Sb5Se3 at its relaxed geometry, with properties calculated at the PBE level.

extended XYZ file:
```
80
Lattice="-8.822 8.822 8.822 8.822 -8.822 8.822 8.822 8.822 -8.822" Properties=species:S:1:pos:R:3 pbc="T T T"
In 2.791 -0.083 1.233
In 10.442 5.644 -4.494
In 11.613 0.083 1.233
In 10.442 -3.178 4.494
In 8.739 -1.233 2.791
In 13.316 -1.620 3.178
In 1.233 2.791 -0.083
In 12.000 4.328 -1.620
In 5.644 4.494 -1.620
In 7.589 2.791 0.083
In -0.083 1.233 2.791
In 4.494 -1.620 5.644
In 8.739 7.589 -2.791
In 4.494 1.620 3.178
In 5.644 -4.494 10.442
In 7.589 -2.791 8.739
In 3.178 4.494 1.620
In 10.055 6.031 0.083
In 4.494 10.442 -3.178
In 8.739 1.233 6.031
In 2.791 8.739 -1.233
In 10.442 3.178 4.328
In 1.620 3.178 4.494
In 2.791 0.083 7.589
In 6.031 8.739 1.233
In 7.202 5.644 4.328
In -1.620 5.644 4.494
In 6.031 0.083 10.055
In 0.083 7.589 2.791
In 4.328 -1.620 12.000
In -1.233 2.791 8.739
In 5.644 4.328 7.202
In 1.233 11.613 0.083
In 3.178 13.316 -1.620
In 4.328 7.202 5.644
In 0.083 1.233 11.613
In 4.328 10.442 3.178
In 8.905 7.589 6.031
In 1.233 6.031 8.739
In 3.178 4.328 10.442
In -3.178 4.494 10.442
In 7.589 6.031 8.905
In -4.494 10.442 5.644
In 0.083 10.055 6.031
In -1.620 12.000 4.328
In -2.791 8.739 7.589
In -1.620 3.178 13.316
In 6.031 8.905 7.589
Sb 0.000 0.000 0.000
Sb 4.411 4.411 -4.411
Sb 4.411 -4.411 4.411
Sb 8.822 0.000 0.000
Sb 13.233 2.206 0.000
Sb 8.822 -4.411 6.617
Sb 6.617 8.822 -4.411
Sb 6.617 0.000 4.411
Sb 4.411 6.617 0.000
Sb 8.822 4.411 2.206
Sb -4.411 4.411 4.411
Sb 0.000 8.822 0.000
Sb 0.000 0.000 8.822
Sb 4.411 4.411 4.411
Sb 0.000 4.411 6.617
Sb 4.411 2.206 8.822
Sb 2.206 8.822 4.411
Sb 2.206 0.000 13.233
Sb 0.000 13.233 2.206
Sb -4.411 6.617 8.822
Se 4.411 2.206 0.000
Se 8.822 4.411 -2.206
Se 2.206 0.000 4.411
Se 11.028 0.000 4.411
Se 0.000 4.411 2.206
Se 4.411 -2.206 8.822
Se 4.411 11.028 0.000
Se 8.822 4.411 6.617
Se -2.206 8.822 4.411
Se 6.617 8.822 4.411
Se 0.000 4.411 11.028
Se 4.411 6.617 8.822
```

Computed properties:
As for the space group: Ia-3d, No. 230. The calculation puts the electronic total energy at -3.169 eV per atom. For the uncorrected formation energy, the calculation gives 0.03 eV per atom. The calculation puts the total magnetization at 0.00 μB per formula unit.

Below is crystalline InSb3Se at its relaxed geometry, with properties calculated at the PBE level.

extended XYZ file:
```
5
Lattice="5.581 0.000 0.000 0.000 5.581 0.000 0.000 0.000 5.581" Properties=species:S:1:pos:R:3 pbc="T T T"
In 0.000 0.000 0.000
Sb 0.000 0.000 2.790
Sb 0.000 2.790 0.000
Sb 2.790 0.000 0.000
Se 2.790 2.790 2.790
```

Computed properties:
The distance to the lowest polymorph of the same formula comes out at 38.11 kJ/mol of atoms. As for the space group: Pm-3m, No. 221. The calculation puts the electronic total energy at -2.799 eV per atom. For the uncorrected formation energy, the calculation gives 0.92 eV per atom. The calculation puts the total magnetization at 0.00 μB per formula unit.

Below is crystalline InSb2Se2 at its relaxed geometry, with properties calculated at the PBE level.

extended XYZ file:
```
10
Lattice="8.718 0.000 0.000 0.000 8.718 0.000 0.000 0.000 3.851" Properties=species:S:1:pos:R:3 pbc="T T T"
In 0.000 0.000 0.000
In 4.359 4.359 0.000
Sb 1.776 2.584 0.000
Sb 2.584 6.943 0.000
Sb 6.135 1.776 0.000
Sb 6.943 6.135 0.000
Se 1.259 5.618 1.925
Se 3.100 1.259 1.925
Se 5.618 7.459 1.925
Se 7.459 3.100 1.925
```

Computed properties:
The distance to the lowest polymorph of the same formula comes out at 0.00 kJ/mol of atoms. As for the space group: P4/mbm, No. 127. The calculation puts the electronic total energy at -3.638 eV per atom. For the uncorrected formation energy, the calculation gives -0.05 eV per atom. The calculation puts the total magnetization at 0.00 μB per formula unit.

Below is crystalline InSb3Se at its relaxed geometry, with properties calculated at the PBE level.

extended XYZ file:
```
5
Lattice="5.474 0.000 0.000 0.000 5.474 0.000 0.000 0.000 5.474" Properties=species:S:1:pos:R:3 pbc="T T T"
In 0.000 0.000 0.000
Sb 0.000 2.737 2.737
Sb 2.737 0.000 2.737
Sb 2.737 2.737 0.000
Se 2.737 2.737 2.737
```

Computed properties:
The distance to the lowest polymorph of the same formula comes out at 0.00 kJ/mol of atoms. As for the space group: Pm-3m, No. 221. The calculation puts the electronic total energy at -3.194 eV per atom. For the uncorrected formation energy, the calculation gives 0.52 eV per atom. The calculation puts the total magnetization at 0.00 μB per formula unit.

- Number 3 is which compound?
  In3SbSe6

- The highest electronic total energy belongs to which entry?
  number 10

- Look up the total magnetization of the ninth one.
  0.00 μB per formula unit